# 1
# PBE TiSnOs2, optimized geometry
data_TiSnOs2
_space_group_name_H-M_alt 'P 1'
_space_group_IT_number 1
_cell_length_a 2.975
_cell_length_b 4.913
_cell_length_c 9.553
_cell_angle_alpha 78.73
_cell_angle_beta 89.43
_cell_angle_gamma 72.43
loop_
_space_group_symop_operation_xyz
'x,y,z'
loop_
_atom_site_label
_atom_site_fract_x
_atom_site_fract_y
_atom_site_fract_z
Ti1 0.000 0.000 0.000
Ti2 0.222 0.516 0.379
Sn1 0.214 0.533 0.859
Sn2 0.473 0.034 0.254
Os1 0.440 0.048 0.739
Os2 0.712 0.525 0.595
Os3 0.725 0.539 0.118
Os4 0.973 0.005 0.513
# * size of the total moment: 0.00 μB per atom
# * formation enthalpy at 0 K: -0.030 eV/atom
# * mass density: 13.937 Mg/m³

=====

# 2
# PBE NiI, optimized geometry
data_NiI
_space_group_name_H-M_alt 'P 1'
_space_group_IT_number 1
_cell_length_a 7.202
_cell_length_b 7.419
_cell_length_c 7.473
_cell_angle_alpha 90.00
_cell_angle_beta 90.00
_cell_angle_gamma 90.00
loop_
_space_group_symop_operation_xyz
'x,y,z'
loop_
_atom_site_label
_atom_site_fract_x
_atom_site_fract_y
_atom_site_fract_z
Ni1 0.089 0.199 0.412
Ni2 0.130 0.596 0.829
Ni3 0.370 0.404 0.329
Ni4 0.411 0.801 0.912
Ni5 0.589 0.301 0.588
Ni6 0.630 0.904 0.171
Ni7 0.870 0.096 0.671
Ni8 0.911 0.699 0.088
I1 0.081 0.924 0.893
I2 0.093 0.406 0.121
I3 0.407 0.594 0.621
I4 0.419 0.076 0.393
I5 0.581 0.576 0.107
I6 0.593 0.094 0.879
I7 0.907 0.906 0.379
I8 0.919 0.424 0.607
# * size of the total moment: 0.00 μB per atom
# * mass density: 6.175 Mg/m³
# * formation energy without anion corrections: 137 meV per atom

=====

# 3
# PBE Er12In2Hg5, optimized geometry
data_Er12In2Hg5
_space_group_name_H-M_alt 'P 1'
_space_group_IT_number 1
_cell_length_a 8.750
_cell_length_b 8.750
_cell_length_c 9.631
_cell_angle_alpha 95.26
_cell_angle_beta 95.26
_cell_angle_gamma 50.28
loop_
_space_group_symop_operation_xyz
'x,y,z'
loop_
_atom_site_label
_atom_site_fract_x
_atom_site_fract_y
_atom_site_fract_z
Er1 0.020 0.020 0.301
Er2 0.070 0.558 0.864
Er3 0.096 0.617 0.441
Er4 0.383 0.904 0.559
Er5 0.429 0.429 0.179
Er6 0.442 0.930 0.136
Er7 0.558 0.070 0.864
Er8 0.571 0.571 0.821
Er9 0.617 0.096 0.441
Er10 0.904 0.383 0.559
Er11 0.930 0.442 0.136
Er12 0.980 0.980 0.699
In1 0.200 0.800 0.000
In2 0.800 0.200 0.000
Hg1 0.158 0.158 0.864
Hg2 0.222 0.222 0.362
Hg3 0.500 0.500 0.500
Hg4 0.778 0.778 0.638
Hg5 0.842 0.842 0.136
# * size of the total moment: 0.00 μB per atom
# * formation enthalpy at 0 K: -0.139 eV/atom
# * mass density: 9.535 Mg/m³

=====

# 4
# PBE FeCuGeIr, optimized geometry
data_FeCuGeIr
_space_group_name_H-M_alt 'P 1'
_space_group_IT_number 1
_cell_length_a 4.185
_cell_length_b 4.185
_cell_length_c 4.185
_cell_angle_alpha 60.00
_cell_angle_beta 60.00
_cell_angle_gamma 60.00
loop_
_space_group_symop_operation_xyz
'x,y,z'
loop_
_atom_site_label
_atom_site_fract_x
_atom_site_fract_y
_atom_site_fract_z
Fe1 0.000 0.000 0.000
Cu1 0.750 0.750 0.750
Ge1 0.250 0.250 0.250
Ir1 0.500 0.500 0.500
# * size of the total moment: 0.39 μB per atom
# * formation enthalpy at 0 K: 0.010 eV/atom
# * mass density: 12.308 Mg/m³